[1]
A plane-wave DFT calculation with GGA-PBE was carried out for La2BrO after structural relaxation.

Computed properties:
* crystal system: cubic
* distance to the lowest polymorph of the same formula: 713 meV per atom
* raw formation energy: -512 kJ/mol of formula units

Cell lengths 4.973, 4.973, 4.973 Å; angles 60.00, 60.00, 60.00 degrees
Atoms (fractional coordinates):
La (0.750, 0.750, 0.750)
O (0.000, 0.000, 0.000)
Br (0.500, 0.500, 0.500)
La (0.250, 0.250, 0.250)

[2]
A plane-wave DFT calculation with GGA-PBE was carried out for LaBrO2 after structural relaxation.

Computed properties:
* crystal system: orthorhombic
* distance to the lowest polymorph of the same formula: 23 meV per atom
* raw formation energy: -823 kJ/mol of formula units

Cell lengths 7.457, 7.365, 7.365 Å; angles 47.90, 109.00, 71.00 degrees
Atoms (fractional coordinates):
O (0.750, 0.562, 0.314)
O (0.250, 0.186, 0.938)
O (0.750, 0.814, 0.062)
La (0.250, 0.135, 0.635)
Br (0.250, 0.556, 0.056)
La (0.750, 0.865, 0.365)
O (0.250, 0.438, 0.686)
Br (0.750, 0.444, 0.944)

[3]
A plane-wave DFT calculation with GGA-PBE was carried out for La2Br3O after structural relaxation.

Computed properties:
* crystal system: monoclinic
* raw formation energy: -1391 kJ/mol of formula units

Cell lengths 4.211, 9.130, 10.457 Å; angles 71.50, 78.39, 76.67 degrees
Atoms (fractional coordinates):
O (0.579, 0.506, 0.336)
Br (0.226, 0.167, 0.380)
Br (0.664, 0.679, 0.992)
Br (0.774, 0.833, 0.620)
Br (0.336, 0.321, 0.008)
O (0.421, 0.494, 0.664)
Br (0.044, 0.148, 0.764)
La (0.580, 0.296, 0.544)
La (0.868, 0.483, 0.782)
La (0.420, 0.704, 0.456)
La (0.132, 0.517, 0.218)
Br (0.956, 0.852, 0.236)

[4]
A plane-wave DFT calculation with GGA-PBE was carried out for LaBrO2 after structural relaxation.

Computed properties:
* crystal system: trigonal
* distance to the lowest polymorph of the same formula: 753 meV per atom
* raw formation energy: -541 kJ/mol of formula units

Cell lengths 4.443, 4.443, 4.443 Å; angles 60.42, 60.42, 60.42 degrees
Atoms (fractional coordinates):
O (0.222, 0.222, 0.222)
La (0.000, 0.000, 0.000)
Br (0.500, 0.500, 0.500)
O (0.778, 0.778, 0.778)

[5]
A plane-wave DFT calculation with GGA-PBE was carried out for LaBrO2 after structural relaxation.

Computed properties:
* crystal system: triclinic
* distance to the lowest polymorph of the same formula: 104 meV per atom
* raw formation energy: -792 kJ/mol of formula units

Cell lengths 3.980, 6.881, 7.186 Å; angles 116.56, 91.94, 106.54 degrees
Atoms (fractional coordinates):
Br (0.124, 0.017, 0.521)
O (0.442, 0.335, 0.535)
O (0.830, 0.707, 0.495)
O (0.284, 0.653, 0.027)
La (0.313, 0.688, 0.715)
La (0.731, 0.545, 0.105)
Br (0.997, 0.127, 0.048)
O (0.719, 0.467, 0.726)

[6]
A plane-wave DFT calculation with GGA-PBE was carried out for LaBrO2 after structural relaxation.

Computed properties:
* crystal system: orthorhombic
* distance to the lowest polymorph of the same formula: 319 meV per atom
* raw formation energy: -709 kJ/mol of formula units

Cell lengths 8.480, 8.480, 4.337 Å; angles 90.00, 90.00, 136.90 degrees
Atoms (fractional coordinates):
O (0.948, 0.052, 0.250)
Br (0.645, 0.355, 0.750)
O (0.760, 0.240, 0.750)
La (0.903, 0.097, 0.750)
O (0.240, 0.760, 0.250)
Br (0.355, 0.645, 0.250)
La (0.097, 0.903, 0.250)
O (0.052, 0.948, 0.750)

no.,E (eV for the cell shown)
1,-21.790
2,-50.091
3,-68.496
4,-22.128
5,-49.447
6,-47.723